LaZn5: optimized geometry, GGA-PBEsol.

a = 4.2079 Å, b = 5.3478 Å, c = 5.3478 Å
α = 120.00°, β = 90.00°, γ = 90.00°
Last column: nearest neighbours and their distance in Å.
Positions (direct):
Zn  0.0000  0.3333  0.6667  6 Zn 2.61
Zn  0.0000  0.6667  0.3333  6 Zn 2.61
Zn  0.5000  0.0000  0.5000  8 Zn 2.61-2.67
Zn  0.5000  0.5000  0.0000  8 Zn 2.61-2.67
Zn  0.5000  0.5000  0.5000  8 Zn 2.61-2.67
La  0.0000  0.0000  0.0000  18 Zn 3.09-3.40

Space group   No. 191
Energy of formation   -183 kJ/mol of formula units

---

BeBBr3: optimized geometry, GGA-PBEsol.

a = 4.7399 Å, b = 4.7399 Å, c = 4.7399 Å
α = 90.00°, β = 90.00°, γ = 90.00°
Last column: nearest neighbours and their distance in Å.
Positions (direct):
Be  0.0000  0.0000  0.0000  6 Br 2.37
B  0.5000  0.5000  0.5000  12 Br 3.35
Br  0.0000  0.5000  0.0000  2 Be 2.37
Br  0.0000  0.0000  0.5000  2 Be 2.37
Br  0.5000  0.0000  0.0000  2 Be 2.37

ΔE_f (raw)   548.6 meV per atom
Energy relative to the lowest polymorph listed for this composition   0 meV/atom
Space group   No. 221

---

LiFeRe4: optimized geometry, GGA-PBEsol.

a = 5.1071 Å, b = 5.1071 Å, c = 5.1071 Å
α = 60.00°, β = 60.00°, γ = 60.00°
Last column: nearest neighbours and their distance in Å.
Positions (direct):
Fe  0.7500  0.7500  0.7500  12 Re 2.99, 4 Li 3.13
Li  0.0000  0.0000  0.0000  12 Re 2.99, 4 Fe 3.13
Re  0.3750  0.3750  0.3750  6 Re 2.55
Re  0.3750  0.3750  0.8749  6 Re 2.55
Re  0.8749  0.3750  0.3750  6 Re 2.55
Re  0.3750  0.8749  0.3750  6 Re 2.55

Space group   No. 216
Energy of formation   365 kJ/mol of formula units

---

Ta2CdIr: optimized geometry, GGA-PBEsol.

a = 3.4206 Å, b = 3.4206 Å, c = 5.8893 Å
α = 90.00°, β = 90.00°, γ = 90.00°
Last column: nearest neighbours and their distance in Å.
Positions (direct):
Cd  0.5000  0.5000  0.0000  8 Ta 2.92, 2 Ir 2.94
Ir  0.5000  0.5000  0.5000  8 Ta 2.75, 2 Cd 2.94
Ta  0.0000  0.0000  0.7235  1 Ta 2.63, 4 Ir 2.75, 4 Cd 2.92
Ta  0.0000  0.0000  0.2765  1 Ta 2.63, 4 Ir 2.75, 4 Cd 2.92

Space group   No. 123
Energy of formation   36 kJ/mol of formula units

---

SrLiSi2Hg: optimized geometry, GGA-PBEsol.

a = 4.7844 Å, b = 5.1279 Å, c = 5.1279 Å
α = 90.00°, β = 90.00°, γ = 90.00°
Last column: nearest neighbours and their distance in Å.
Positions (direct):
Sr  0.5000  0.5000  0.5000  8 Si 3.51, 4 Li 3.63
Si  0.0000  0.0000  0.5000  2 Hg 2.56
Si  0.0000  0.5000  0.0000  2 Hg 2.56
Hg  0.0000  0.0000  0.0000  2 Li 2.39, 4 Si 2.56
Li  0.5000  0.0000  0.0000  2 Hg 2.39

ΔE_f (raw)   189.5 meV per atom
Space group   No. 123

---

MgCd2Pt: optimized geometry, GGA-PBEsol.

a = 3.1027 Å, b = 3.9820 Å, c = 5.8202 Å
α = 90.00°, β = 90.00°, γ = 90.00°
Last column: nearest neighbours and their distance in Å.
Positions (direct):
Cd  0.0000  0.0000  0.7407  4 Cd 2.80-3.10, 4 Pt 2.89, 4 Mg 2.94
Cd  0.0000  0.0000  0.2593  4 Cd 2.80-3.10, 4 Pt 2.89, 4 Mg 2.94
Mg  0.5000  0.5000  0.0000  2 Pt 2.91, 8 Cd 2.94, 2 Mg 3.10
Pt  0.5000  0.5000  0.5000  8 Cd 2.89, 2 Mg 2.91, 2 Pt 3.10

Space group   No. 47
Energy of formation   -103 kJ/mol of formula units

---

BeInW2: optimized geometry, GGA-PBEsol.

a = 2.7521 Å, b = 2.7521 Å, c = 8.1372 Å
α = 90.00°, β = 90.00°, γ = 90.00°
Last column: nearest neighbours and their distance in Å.
Positions (direct):
Be  0.0000  0.0000  0.4798  4 W 2.54, 4 Be 2.75, 4 In 2.81
W  0.0000  0.0000  0.0116  8 W 2.75-2.92, 4 In 3.01
W  0.5000  0.5000  0.2791  4 Be 2.54, 4 W 2.75
In  0.5000  0.5000  0.7294  4 In 2.75, 4 Be 2.81, 4 W 3.01

Space group   No. 99
Energy of formation   214 kJ/mol of formula units

---

DyLuRu2: optimized geometry, GGA-PBEsol.

a = 4.6775 Å, b = 4.6775 Å, c = 4.6775 Å
α = 60.00°, β = 60.00°, γ = 60.00°
Last column: nearest neighbours and their distance in Å.
Positions (direct):
Ru  0.2500  0.2500  0.2500  4 Dy 2.86, 4 Lu 2.86
Ru  0.7500  0.7500  0.7500  4 Dy 2.86, 4 Lu 2.86
Lu  0.5000  0.5000  0.5000  8 Ru 2.86
Dy  0.0000  0.0000  0.0000  8 Ru 2.86

Space group   No. 225
Energy of formation   -131 kJ/mol of formula units

---

AlFePO2: optimized geometry, GGA-PBEsol.

a = 3.5755 Å, b = 3.5755 Å, c = 4.7640 Å
α = 90.00°, β = 90.00°, γ = 90.00°
Last column: nearest neighbours and their distance in Å.
Positions (direct):
P  0.0000  0.0000  0.5000  2 Fe 2.38, 4 Al 2.53
Fe  0.0000  0.0000  0.0000  4 O 1.79
O  0.0000  0.5000  0.0000  2 Fe 1.79
O  0.5000  0.0000  0.0000  2 Fe 1.79
Al  0.5000  0.5000  0.5000  4 P 2.53

ΔE_f (raw)   -589.5 meV per atom
Space group   No. 123

---

LiYPt2: optimized geometry, GGA-PBEsol.

a = 4.2620 Å, b = 4.8088 Å, c = 4.2620 Å
α = 63.70°, β = 90.00°, γ = 116.30°
Last column: nearest neighbours and their distance in Å.
Positions (direct):
Y  0.0000  0.0000  0.0000  8 Pt 2.84, 4 Li 3.01
Pt  0.2500  0.5000  0.2500  4 Li 2.84, 4 Y 2.84, 4 Pt 3.01
Pt  0.7500  0.5000  0.7500  4 Y 2.84, 4 Li 2.84, 4 Pt 3.01
Li  0.5000  0.0000  0.5000  8 Pt 2.84, 4 Y 3.01

Space group   No. 139
Energy of formation   -330 kJ/mol of formula units

---

BaCu10P4: optimized geometry, GGA-PBEsol.

a = 3.8041 Å, b = 9.4966 Å, c = 11.6327 Å
α = 93.42°, β = 99.41°, γ = 90.00°
Last column: nearest neighbours and their distance in Å.
Positions (direct):
Ba  0.1426  0.7846  0.2852  7 P 3.13-3.27, 10 Cu 3.40-3.49
Ba  0.8574  0.2154  0.7148  7 P 3.13-3.27, 10 Cu 3.40-3.49
Cu  0.1510  0.1573  0.3021  3 P 2.23-2.38, 1 Cu 2.43
Cu  0.9503  0.9318  0.9006  3 P 2.29-2.36, 2 Cu 2.43-2.55
Cu  0.2766  0.4310  0.5533  2 P 2.36-2.41, 6 Cu 2.52-2.64
Cu  0.0497  0.0682  0.0994  3 P 2.29-2.36, 2 Cu 2.43-2.55
Cu  0.2860  0.6967  0.5720  2 P 2.36, 6 Cu 2.52-2.64
Cu  0.1664  0.4308  0.3327  2 P 2.32, 4 Cu 2.53-2.55
Cu  0.7234  0.5690  0.4467  2 P 2.36-2.41, 6 Cu 2.52-2.64
Cu  0.5873  0.2743  0.1746  2 P 2.29-2.32
Cu  0.5258  0.8837  0.0516  3 P 2.34-2.37, 4 Cu 2.51-2.62
Cu  0.9437  0.5466  0.8875  3 P 2.26-2.44
Cu  0.7139  0.0367  0.4279  4 P 2.35-2.48, 1 Cu 2.53
Cu  0.8490  0.8427  0.6979  3 P 2.23-2.38, 1 Cu 2.43
Cu  0.8336  0.5692  0.6673  2 P 2.32, 4 Cu 2.53-2.55
Cu  0.7140  0.3033  0.4280  2 P 2.36, 6 Cu 2.52-2.64
Cu  0.4696  0.3802  0.9391  3 P 2.30-2.38, 3 Cu 2.51-2.56
Cu  0.4742  0.1163  0.9484  3 P 2.34-2.37, 4 Cu 2.51-2.62
Cu  0.4127  0.7257  0.8254  2 P 2.29-2.32
Cu  0.5304  0.6198  0.0609  3 P 2.30-2.38, 3 Cu 2.51-2.56
Cu  0.0563  0.4534  0.1125  3 P 2.26-2.44
Cu  0.2861  0.9633  0.5721  4 P 2.35-2.48, 1 Cu 2.53
P  0.6090  0.0391  0.2179  7 Cu 2.32-2.41
P  0.6202  0.5071  0.2403  7 Cu 2.29-2.44
P  0.7517  0.8123  0.5033  7 Cu 2.23-2.48
P  0.3798  0.4929  0.7597  7 Cu 2.29-2.44
P  0.3910  0.9609  0.7821  7 Cu 2.32-2.41
P  0.9937  0.2597  0.9875  6 Cu 2.26-2.37
P  0.2483  0.1877  0.4967  7 Cu 2.23-2.48
P  0.0063  0.7403  0.0125  6 Cu 2.26-2.37

Space group   No. 12
Energy of formation   -368 kJ/mol of formula units

---

LiLaPb2: optimized geometry, GGA-PBEsol.

a = 3.3420 Å, b = 4.3987 Å, c = 7.1532 Å
α = 90.00°, β = 90.04°, γ = 90.00°
Last column: nearest neighbours and their distance in Å.
Positions (direct):
Pb  0.9994  0.0000  0.7155  3 Pb 3.08-3.34, 4 Li 3.16, 4 La 3.43
Pb  0.0006  0.0000  0.2845  3 Pb 3.08-3.34, 4 Li 3.16, 4 La 3.43
Li  0.5000  0.5000  0.5000  8 Pb 3.16, 2 Li 3.34
La  0.5000  0.5000  0.0000  2 La 3.34, 8 Pb 3.43, 2 Li 3.58

Space group   No. 47
Energy of formation   -166 kJ/mol of formula units

---

AlGeN2O: optimized geometry, GGA-PBEsol.

a = 3.6339 Å, b = 3.8397 Å, c = 3.8397 Å
α = 90.00°, β = 90.00°, γ = 90.00°
Last column: nearest neighbours and their distance in Å.
Positions (direct):
Ge  0.5000  0.5000  0.5000  8 N 2.64, 4 O 2.72
Al  0.0000  0.0000  0.0000  2 O 1.82, 4 N 1.92
O  0.5000  0.0000  0.0000  2 Al 1.82
N  0.0000  0.0000  0.5000  2 Al 1.92
N  0.0000  0.5000  0.0000  2 Al 1.92

ΔE_f (raw)   146.1 meV per atom
Space group   No. 123

---

GeBi2Au2: optimized geometry, GGA-PBEsol.

a = 3.8171 Å, b = 3.8171 Å, c = 8.5734 Å
α = 102.86°, β = 102.86°, γ = 90.00°
Last column: nearest neighbours and their distance in Å.
Positions (direct):
Ge  0.0000  0.0000  0.0000  8 Bi 3.18
Au  0.2500  0.7500  0.5000  4 Au 2.70
Au  0.7500  0.2500  0.5000  4 Au 2.70
Bi  0.3968  0.3968  0.7936  4 Au 3.06, 4 Ge 3.18, 1 Bi 3.36
Bi  0.6032  0.6032  0.2064  4 Au 3.06, 4 Ge 3.18, 1 Bi 3.36

Space group   No. 139
Energy of formation   58 kJ/mol of formula units